No. 1
# PaNiPdRh

A geometry-optimized PaNiPdRh structure (GGA-PBE, the Alexandria database).

Calculated values
total energy	-7.422	eV per atom
relative energy among the computed polymorphs	279	meV/atom
calculated formation energy	-0.47	eV per atom
crystal system	cubic
DOS(E_F)	0.757	states/eV per atom

Cell: 6.461 6.461 6.461 Å, 90.00 90.00 90.00°
Space group F-43m (No. 216)
Symmetry-distinct sites (fractional):
Pa 0.000 0.000 0.000 [4 per cell]
Ni 0.250 0.250 0.750 [4 per cell]
Pd 0.000 0.000 0.500 [4 per cell]
Rh 0.250 0.250 0.250 [4 per cell]


No. 2
# PaNiPdRu

A geometry-optimized PaNiPdRu structure (GGA-PBE, the Alexandria database).

Calculated values
total energy	-8.034	eV per atom
calculated formation energy	-0.60	eV per atom
crystal system	orthorhombic
DOS(E_F)	1.151	states/eV per atom

Cell: 3.876 3.959 4.239 Å, 90.00 90.00 90.00°
Space group Pmmm (No. 47)
Symmetry-distinct sites (fractional):
Pa 0.000 0.000 0.000 [1 per cell]
Ni 0.500 0.000 0.500 [1 per cell]
Pd 0.000 0.500 0.500 [1 per cell]
Ru 0.500 0.500 0.000 [1 per cell]


No. 3
# Pa2NiPdS5

A geometry-optimized Pa2NiPdS5 structure (GGA-PBE, the Alexandria database).

Calculated values
total energy	-6.748	eV per atom
E_form (uncorrected)	-108.6	kJ/mol of atoms
crystal system	orthorhombic
DOS(E_F)	0.749	states/eV per atom

Cell: 3.860 16.281 10.314 Å, 90.00 90.00 90.00°
Space group Cmc2_1 (No. 36)
Symmetry-distinct sites (fractional):
Pa 0.000 0.118 0.000 [4 per cell]
Pa 0.000 0.121 0.398 [4 per cell]
Ni 0.000 0.400 0.195 [4 per cell]
Pd 0.000 0.226 0.691 [4 per cell]
S 0.000 0.033 0.778 [4 per cell]
S 0.000 0.295 0.038 [4 per cell]
S 0.000 0.303 0.362 [4 per cell]
S 0.000 0.372 0.707 [4 per cell]
S 0.000 0.483 0.012 [4 per cell]